one:
# CrBi3Se

A geometry-optimized CrBi3Se structure (PBE, the Alexandria database).

extended XYZ file:
```
5
Lattice="-0.734 2.072 -4.642 -4.730 1.441 1.391 1.864 4.473 1.702" Properties=species:S:1:pos:R:3 pbc="T T T"
Bi -2.365 0.721 0.696
Bi 0.932 2.237 0.851
Bi -0.367 1.036 -2.321
Cr 0.000 0.000 0.000
Se -1.800 3.994 -0.774
```

## Properties
The calculation puts the magnetization at 0.0 μB/f.u. The volume comes out at 27.1 Å³/atom.

---

two:
# CrBi3Se

A geometry-optimized CrBi3Se structure (PBE, the Alexandria database).

extended XYZ file:
```
5
Lattice="-3.861 3.831 1.152 0.405 -1.219 5.409 3.980 3.840 0.568" Properties=species:S:1:pos:R:3 pbc="T T T"
Cr 0.262 3.226 3.564
Bi 1.990 1.920 0.284
Se 0.000 0.000 0.000
Bi 0.202 -0.609 2.704
Bi -1.930 1.915 0.576
```

## Properties
The calculation puts the magnetization at 3.6 μB/f.u. The volume comes out at 34.4 Å³/atom.

---

It comes down to one, which is 477 meV/atom more stable than the next structure.

---

one:
# Cr2SiBi

A geometry-optimized Cr2SiBi structure (PBE, the Alexandria database).

extended XYZ file:
```
8
Lattice="4.088 0.000 0.000 0.000 4.088 0.000 2.044 2.044 8.623" Properties=species:S:1:pos:R:3 pbc="T T T"
Si 2.044 4.088 4.312
Bi 4.088 2.044 4.312
Si 2.044 2.044 0.000
Cr 5.110 4.658 6.468
Bi 0.000 0.000 0.000
Cr 1.474 3.066 2.156
Cr 2.614 1.022 2.156
Cr 3.066 3.518 6.468
```

## Properties
The calculation puts the magnetization at 0.0 μB/f.u. The volume comes out at 18.0 Å³/atom.

---

two:
# Cr2SiBi

A geometry-optimized Cr2SiBi structure (PBE, the Alexandria database).

extended XYZ file:
```
4
Lattice="-0.123 0.770 4.399 1.315 3.953 1.613 -3.010 2.838 1.687" Properties=species:S:1:pos:R:3 pbc="T T T"
Cr -0.455 1.890 1.925
Bi -0.909 3.781 3.850
Cr -1.364 5.671 5.775
Si 0.000 0.000 0.000
```

## Properties
The calculation puts the magnetization at 3.0 μB/f.u. The volume comes out at 15.8 Å³/atom.

---

It comes down to two, which is 115 meV/atom more stable than the next structure.